(1)
Entry from the Alexandria database: a relaxed structure of Zr2NiGeOs (PBEsol).

- space-group type = No. 123
- energy of formation from the pure elements (meV/atom) = 651.9
- size of the total moment (μB/cell) = 0.00
- crystal system = tetragonal
- final energy (eV per atom) = -7.646
- N(E_F) (states/eV/atom) = 1.018

Cell lengths 4.5727, 4.9704, 4.9704 Å; angles 90.00, 90.00, 90.00 degrees
Element x y z (fractional)
Zr: 0.0000 0.5000 0.0000
Zr: 0.0000 0.0000 0.5000
Ni: 0.5000 0.5000 0.5000
Ge: 0.5000 0.0000 0.0000
Os: 0.0000 0.0000 0.0000

(2)
Entry from the Alexandria database: a relaxed structure of NiGe3P (PBEsol).

- space-group type = No. 221
- energy of formation from the pure elements (meV/atom) = 947.0
- size of the total moment (μB/cell) = 0.00
- crystal system = cubic
- final energy (eV per atom) = -4.406
- N(E_F) (states/eV/atom) = 0.568

Cell lengths 4.5659, 4.5659, 4.5659 Å; angles 90.00, 90.00, 90.00 degrees
Element x y z (fractional)
Ge: 0.5000 0.0000 0.0000
Ge: 0.0000 0.5000 0.0000
Ge: 0.0000 0.0000 0.5000
P: 0.0000 0.0000 0.0000
Ni: 0.5000 0.5000 0.5000

(3)
Entry from the Alexandria database: a relaxed structure of Ni16GeP5 (PBEsol).

- space-group type = No. 2
- energy of formation from the pure elements (meV/atom) = -514.8
- size of the total moment (μB/cell) = 0.00
- crystal system = triclinic
- final energy (eV per atom) = -6.534
- N(E_F) (states/eV/atom) = 0.504

Cell lengths 6.4895, 6.6064, 6.6770 Å; angles 98.77, 102.41, 119.30 degrees
Element x y z (fractional)
Ni: 0.4429 0.5552 0.6648
Ni: 0.1718 0.6258 0.9022
Ni: 0.9616 0.8000 0.7010
Ni: 0.3909 0.9191 0.6482
Ni: 0.4142 0.2708 0.8920
Ni: 0.7941 0.9918 0.8978
Ni: 0.5571 0.4448 0.3352
Ni: 0.8282 0.3742 0.0978
Ni: 0.2798 0.6403 0.3007
Ni: 0.0152 0.1988 0.6647
Ni: 0.0384 0.2000 0.2990
Ni: 0.6091 0.0809 0.3518
Ni: 0.7202 0.3597 0.6993
Ni: 0.5858 0.7292 0.1080
Ni: 0.9848 0.8012 0.3353
Ni: 0.2059 0.0082 0.1022
P: 0.3286 0.1694 0.4983
P: 0.8268 0.6646 0.9671
P: 0.1732 0.3354 0.0329
P: 0.5000 0.0000 0.0000
P: 0.6714 0.8306 0.5017
Ge: 0.0000 0.5000 0.5000